1.
Entry from the Alexandria database: an optimized crystal structure of Cs2Ga2Br (GGA-PBE).

Computed properties:
calculated volume = 45.46 Å³/atom
relative energy among the computed polymorphs = 0 kJ/mol of formula units
uncorrected formation energy = -128 kJ/mol of formula units
space group = P4/mbm (127)

a b c (Å): 10.0683 10.0683 4.4844
angles (deg): 90.00 90.00 90.00
Element x y z (fractional)
Cs (0.2112, 0.2888, 0.0000)
Cs (0.2888, 0.7888, 0.0000)
Cs (0.7112, 0.2112, 0.0000)
Cs (0.7888, 0.7112, 0.0000)
Ga (0.0861, 0.5861, 0.5000)
Ga (0.4139, 0.0861, 0.5000)
Ga (0.5861, 0.9139, 0.5000)
Ga (0.9139, 0.4139, 0.5000)
Br (0.0000, 0.0000, 0.5000)
Br (0.5000, 0.5000, 0.5000)

2.
Entry from the Alexandria database: an optimized crystal structure of CsGaBr3 (GGA-PBE).

Computed properties:
calculated volume = 44.15 Å³/atom
uncorrected formation energy = -571 kJ/mol of formula units
space group = P1 (1)

a b c (Å): 5.5112 8.7916 9.7311
angles (deg): 103.26 97.21 101.94
Element x y z (fractional)
Cs (0.0000, 0.0000, 0.0000)
Cs (0.2575, 0.5600, 0.3068)
Ga (0.1928, 0.0567, 0.5379)
Ga (0.6019, 0.4683, 0.8651)
Br (0.0528, 0.2387, 0.7128)
Br (0.3743, 0.6972, 0.9942)
Br (0.3803, 0.8932, 0.6596)
Br (0.4501, 0.2085, 0.4161)
Br (0.6368, 0.3252, 0.0876)
Br (0.8674, 0.8757, 0.3534)